Version one
Material: DyLuIn
Method: DFT, PBE
State: optimized geometry

abc: 3.6055 5.1812 5.1812
angles: 120.00 90.00 90.00
Fractional coordinates of all 3 atoms:
1 Lu 0.9221 0.0000 0.0000
2 In 0.7090 0.6667 0.3333
3 Dy 0.3690 0.3333 0.6667

M_tot = 0.00 μB/atom

=====

Version two
Material: DyLuIn
Method: DFT, PBE
State: optimized geometry

abc: 3.4980 3.4980 7.2372
angles: 103.98 103.98 90.00
Fractional coordinates of all 3 atoms:
1 Lu 0.6066 0.6066 0.2132
2 Dy 0.2915 0.2915 0.5831
3 In 0.9519 0.9519 0.9037

M_tot = 0.00 μB/atom

=====

Most favorable first, least favorable last: version two, version one

=====

Version one
Material: Dy2MgIn
Method: DFT, PBE
State: optimized geometry

abc: 5.3098 5.3098 5.3098
angles: 60.00 60.00 60.00
Fractional coordinates of all 4 atoms:
1 Mg 0.0000 0.0000 0.0000
2 In 0.5000 0.5000 0.5000
3 Dy 0.7500 0.7500 0.7500
4 Dy 0.2500 0.2500 0.2500

M_tot = 0.00 μB/atom

=====

Version two
Material: Dy2MgIn
Method: DFT, PBE
State: optimized geometry

abc: 4.2227 5.0144 5.0144
angles: 90.00 90.00 90.00
Fractional coordinates of all 4 atoms:
1 Mg 0.5000 0.5000 0.5000
2 In 0.5000 0.0000 0.0000
3 Dy 0.0000 0.0000 0.5000
4 Dy 0.0000 0.5000 0.0000

M_tot = 0.00 μB/atom

=====

Most favorable first, least favorable last: version one, version two